Material: K3Tl3VO8
Method: DFT, PBE with a Hubbard U
State: optimized geometry

Properties
Total energy (eV/cell): -75.7

Cell lengths 6.7379, 6.7379, 7.4150 Å; angles 117.17, 117.17, 60.99 degrees
Atoms (fractional coordinates):
K  0.0000  0.0000  0.0000
K  0.0000  0.5000  0.0000
K  0.5000  0.0000  0.0000
Tl  0.0000  0.5000  0.5000
Tl  0.5000  0.0000  0.5000
Tl  0.5000  0.5000  0.5000
V  0.0000  0.0000  0.5000
O  0.1907  0.1907  0.6802
O  0.2054  0.7550  0.6740
O  0.2450  0.7946  0.3260
O  0.2654  0.2654  0.3081
O  0.7346  0.7346  0.6919
O  0.7550  0.2054  0.6740
O  0.7946  0.2450  0.3260
O  0.8093  0.8093  0.3198